! CeDy2Ag GGA-PBE relaxed; values from VASP
&SYSTEM
  ibrav = 0, nat = 4, ntyp = 3
/
ATOMIC_SPECIES
Ce 140.12 Ce.upf
Dy 162.50 Dy.upf
Ag 107.87 Ag.upf
CELL_PARAMETERS angstrom
5.4236 0.0000 0.0000
0.0000 5.4236 0.0000
0.0000 0.0000 3.5631
ATOMIC_POSITIONS crystal
Ce 0.0000 0.0000 0.0000
Dy 0.0000 0.5000 0.5000
Dy 0.5000 0.0000 0.5000
Ag 0.5000 0.5000 0.0000
! Magnetic moment in Bohr magnetons per cell: 0.0
! Formation energy from the elements in eV/atom: 0.020
! Symmetry: No. 123
! Polymorph energy (0 for the lowest one) in meV/atom: 115
! Total DFT energy (no corrections) in eV/atom: -4.477

***

! LiDy2HoRh4 GGA-PBE relaxed; values from VASP
&SYSTEM
  ibrav = 0, nat = 8, ntyp = 4
/
ATOMIC_SPECIES
Li 6.94 Li.upf
Dy 162.50 Dy.upf
Ho 164.93 Ho.upf
Rh 102.91 Rh.upf
CELL_PARAMETERS angstrom
2.3521 1.3580 7.6915
-2.3521 1.3580 7.6915
0.0000 -2.7160 7.6915
ATOMIC_POSITIONS crystal
Li 0.0000 0.0000 0.0000
Dy 0.2578 0.2578 0.2578
Dy 0.7422 0.7422 0.7422
Ho 0.5000 0.5000 0.5000
Rh 0.1242 0.1242 0.1242
Rh 0.3771 0.3771 0.3771
Rh 0.6229 0.6229 0.6229
Rh 0.8758 0.8758 0.8758
! Magnetic moment in Bohr magnetons per cell: 0.0
! Formation energy from the elements in eV/atom: -0.725
! Symmetry: No. 166
! Total DFT energy (no corrections) in eV/atom: -6.363

***

! La3Tm4Tl4 GGA-PBE relaxed; values from VASP
&SYSTEM
  ibrav = 0, nat = 11, ntyp = 3
/
ATOMIC_SPECIES
La 138.91 La.upf
Tm 168.93 Tm.upf
Tl 204.38 Tl.upf
CELL_PARAMETERS angstrom
-2.4816 4.1175 8.4274
2.4816 -4.1175 8.4274
2.4816 4.1175 -8.4274
ATOMIC_POSITIONS crystal
La 0.0000 0.0000 0.0000
La 0.3873 0.8873 0.5000
La 0.6127 0.1127 0.5000
Tm 0.0327 0.3276 0.7051
Tm 0.3775 0.6724 0.7051
Tm 0.6225 0.3276 0.2949
Tm 0.9673 0.6724 0.2949
Tl 0.2137 0.2137 0.0000
Tl 0.3082 0.5000 0.8082
Tl 0.6918 0.5000 0.1918
Tl 0.7863 0.7863 0.0000
! Magnetic moment in Bohr magnetons per cell: 0.1
! Formation energy from the elements in eV/atom: -0.245
! Symmetry: No. 71
! Total DFT energy (no corrections) in eV/atom: -4.075

***

> Look up the total DFT energy (no corrections) of the first one.

-4.477 eV/atom

***

> The lowest formation energy from the elements belongs to which entry?

LiDy2HoRh4